Density functional theory data (PBE-GGA) for crystalline ZrSi2Tc at its relaxed geometry.

Properties
The density of states at the Fermi level comes out at 0.673 states/eV per atom. The total magnetization is 0.0 μB/f.u. As for the formation energy without anion corrections: -0.27 eV per atom. The volume is 129.7 Å³/cell. As for the polymorph energy (0 for the lowest one): 255 meV per atom.

a b c (Å): 3.153 4.928 8.350
angles (deg): 90.00 90.00 90.00
Space group Immm (No. 71)
Asymmetric unit:
Zr: 0.000 0.000 0.000
Si: 0.000 0.500 0.230
Tc: 0.000 0.000 0.500